# 1
Below is a relaxed SrGaAs2S8 crystal, with properties calculated at the PBE level.

Cell: 6.0687 6.0687 8.7701 Å, 90.00 90.00 120.00°
Fractional positions:
Sr1 0.0000 0.0000 0.0000
Ga1 0.0000 0.0000 0.5000
As1 0.6667 0.3333 0.2577
As2 0.3333 0.6667 0.7423
S1 0.3333 0.6667 0.9909
S2 0.2975 0.3088 0.3139
S3 0.6912 0.9887 0.3139
S4 0.6667 0.3333 0.0091
S5 0.3088 0.0113 0.6861
S6 0.7025 0.6912 0.6861
S7 0.9887 0.2975 0.6861
S8 0.0113 0.7025 0.3139

Summary:
**Space group**: P-3
**VASP energy**: -4.25 eV/atom

# 2
Below is a relaxed Tl2GaAsS4 crystal, with properties calculated at the PBE level.

Cell: 6.0589 8.5824 8.7987 Å, 90.00 90.00 90.00°
Fractional positions:
Tl1 0.4498 0.3513 0.2137
Tl2 0.4498 0.3513 0.7863
Tl3 0.9498 0.6487 0.7137
Tl4 0.9498 0.6487 0.2863
Ga1 0.4990 0.9016 0.5000
Ga2 0.9990 0.0984 0.0000
As1 0.9848 0.1814 0.5000
As2 0.4848 0.8186 0.0000
S1 0.3883 0.0711 0.0000
S2 0.8883 0.9289 0.5000
S3 0.3682 0.1601 0.5000
S4 0.8682 0.8399 0.0000
S5 0.4299 0.7561 0.7107
S6 0.9299 0.2439 0.2107
S7 0.9299 0.2439 0.7893
S8 0.4299 0.7561 0.2893

Summary:
**Space group**: Pmn2_1
**VASP energy**: -3.97 eV/atom

# 3
Below is a relaxed Tm6GaAs2S3 crystal, with properties calculated at the PBE level.

Cell: 3.9321 8.0080 8.8900 Å, 102.58 102.78 90.00°
Fractional positions:
Tm1 0.3345 0.9186 0.6690
Tm2 0.6675 0.5839 0.3349
Tm3 0.6655 0.0814 0.3310
Tm4 0.9989 0.2526 0.9979
Tm5 0.0011 0.7474 0.0021
Tm6 0.3325 0.4161 0.6651
Ga1 0.5000 0.0000 0.0000
As1 0.8332 0.6653 0.6663
As2 0.1668 0.3347 0.3337
S1 0.5000 0.5000 0.0000
S2 0.8305 0.1676 0.6611
S3 0.1695 0.8324 0.3389

Summary:
**Space group**: C2/m
**VASP energy**: -5.86 eV/atom

# 4
Below is a relaxed ZnGaAsS crystal, with properties calculated at the PBE level.

Cell: 3.9706 3.9706 6.8552 Å, 90.00 106.83 120.00°
Fractional positions:
Zn1 0.4600 0.6140 0.0740
Ga1 0.4539 0.1111 0.5649
As1 0.2060 0.4872 0.6932
S1 0.2091 0.9886 0.1977

Summary:
**Space group**: R3m
**VASP energy**: -3.81 eV/atom

# 5
Below is a relaxed Ga3SbAs crystal, with properties calculated at the PBE level.

Cell: 5.2753 5.2753 5.2753 Å, 90.00 90.00 90.00°
Fractional positions:
Sb1 0.0000 0.0000 0.0000
As1 0.5000 0.5000 0.5000
Ga1 0.0000 0.5000 0.0000
Ga2 0.0000 0.0000 0.5000
Ga3 0.5000 0.0000 0.0000

Summary:
**Space group**: Pm-3m
**VASP energy**: -2.91 eV/atom
**ΔE to the lowest computed polymorph**: 387 meV per atom

# 6
Below is a relaxed GaSbAs crystal, with properties calculated at the PBE level.

Cell: 4.2990 5.4860 12.6191 Å, 90.00 99.60 90.00°
Fractional positions:
Ga1 0.0681 0.0000 0.4849
Ga2 0.0681 0.5000 0.9849
Ga3 0.7489 0.0000 0.1786
Ga4 0.7489 0.5000 0.6786
Sb1 0.1966 0.0000 0.0381
Sb2 0.1966 0.5000 0.5381
Sb3 0.4317 0.0000 0.8261
Sb4 0.4317 0.5000 0.3261
As1 0.8870 0.0000 0.6842
As2 0.8870 0.5000 0.1842
As3 0.5362 0.0000 0.3604
As4 0.5362 0.5000 0.8604

Summary:
**Space group**: Cm
**VASP energy**: -3.93 eV/atom
**ΔE to the lowest computed polymorph**: 59 meV per atom

# 7
Below is a relaxed GaSbAs3 crystal, with properties calculated at the PBE level.

Cell: 5.3146 5.3146 5.3146 Å, 90.00 90.00 90.00°
Fractional positions:
Sb1 0.0000 0.0000 0.0000
As1 0.0000 0.5000 0.0000
As2 0.0000 0.0000 0.5000
As3 0.5000 0.0000 0.0000
Ga1 0.5000 0.5000 0.5000

Summary:
**Space group**: Pm-3m
**VASP energy**: -3.36 eV/atom
**ΔE to the lowest computed polymorph**: 240 meV per atom

# 8
Below is a relaxed GaSbAs crystal, with properties calculated at the PBE level.

Cell: 4.1191 6.6530 7.2295 Å, 116.68 105.63 92.62°
Fractional positions:
Ga1 0.8545 0.0284 0.3664
Ga2 0.4519 0.6260 0.5631
Sb1 0.8078 0.9843 0.9656
Sb2 0.3990 0.3152 0.9639
As1 0.8548 0.6504 0.3648
As2 0.4600 0.2510 0.5660

Summary:
**Space group**: P1
**VASP energy**: -3.99 eV/atom
**ΔE to the lowest computed polymorph**: 0 meV per atom

# 9
Below is a relaxed GaSbAs crystal, with properties calculated at the PBE level.

Cell: 4.0743 6.0668 6.5433 Å, 97.38 94.53 109.17°
Fractional positions:
Ga1 0.0319 0.4940 0.3391
Ga2 0.7114 0.8698 0.6477
Sb1 0.5920 0.8244 0.2211
Sb2 0.3542 0.2105 0.7884
As1 0.1383 0.5873 0.7336
As2 0.4099 0.2243 0.2047

Summary:
**Space group**: P1
**VASP energy**: -3.91 eV/atom
**ΔE to the lowest computed polymorph**: 79 meV per atom

# 10
Below is a relaxed GaSbAs crystal, with properties calculated at the PBE level.

Cell: 4.6641 7.3397 9.6937 Å, 90.00 107.34 90.00°
Fractional positions:
Ga1 0.1146 0.2221 0.3050
Ga2 0.1146 0.7779 0.3050
Ga3 0.1146 0.7221 0.8050
Ga4 0.1146 0.2779 0.8050
Sb1 0.6883 0.0000 0.1387
Sb2 0.6883 0.5000 0.6387
Sb3 0.3717 0.0000 0.6945
Sb4 0.3717 0.5000 0.1945
As1 0.5051 0.0000 0.4445
As2 0.5051 0.5000 0.9445
As3 0.9026 0.0000 0.9050
As4 0.9026 0.5000 0.4050

Summary:
**Space group**: Cm
**VASP energy**: -3.95 eV/atom
**ΔE to the lowest computed polymorph**: 42 meV per atom

# 11
Below is a relaxed GaSbAs crystal, with properties calculated at the PBE level.

Cell: 4.0675 5.7437 8.2982 Å, 108.95 91.29 90.14°
Fractional positions:
Ga1 0.9055 0.3185 0.5173
Ga2 0.3961 0.8184 0.3225
Sb1 0.8817 0.2177 0.0100
Sb2 0.3806 0.8653 0.0088
As1 0.8956 0.5608 0.3239
As2 0.4091 0.1536 0.6072

Summary:
**Space group**: P1
**VASP energy**: -3.97 eV/atom
**ΔE to the lowest computed polymorph**: 24 meV per atom

# 12
Below is a relaxed GaSbAs crystal, with properties calculated at the PBE level.

Cell: 3.8023 5.5950 7.6973 Å, 90.00 104.30 90.00°
Fractional positions:
Sb1 0.3406 0.3009 0.6813
Sb2 0.6594 0.8009 0.3187
As1 0.0632 0.5587 0.1264
As2 0.9368 0.0587 0.8736
Ga1 0.1547 0.1814 0.3095
Ga2 0.8453 0.6814 0.6905

Summary:
**Space group**: Cmc2_1
**VASP energy**: -3.83 eV/atom
**ΔE to the lowest computed polymorph**: 159 meV per atom

# 13
Below is a relaxed Ga2SbAs2 crystal, with properties calculated at the PBE level.

Cell: 7.7530 7.7530 3.5809 Å, 90.00 90.00 90.00°
Fractional positions:
Sb1 0.0000 0.0000 0.0000
Sb2 0.5000 0.5000 0.0000
As1 0.3387 0.8387 0.0000
As2 0.8387 0.6613 0.0000
As3 0.6613 0.1613 0.0000
As4 0.1613 0.3387 0.0000
Ga1 0.1396 0.6396 0.5000
Ga2 0.6396 0.8604 0.5000
Ga3 0.8604 0.3604 0.5000
Ga4 0.3604 0.1396 0.5000

Summary:
**Space group**: P4/mbm
**VASP energy**: -3.77 eV/atom
**ΔE to the lowest computed polymorph**: 0 meV per atom

# 14
Below is a relaxed GaSbAs2 crystal, with properties calculated at the PBE level.

Cell: 4.9280 4.9280 4.9280 Å, 60.00 60.00 60.00°
Fractional positions:
Sb1 0.5000 0.5000 0.5000
As1 0.2500 0.2500 0.2500
As2 0.7500 0.7500 0.7500
Ga1 0.0000 0.0000 0.0000

Summary:
**Space group**: Fm-3m
**VASP energy**: -3.85 eV/atom
**ΔE to the lowest computed polymorph**: 177 meV per atom

# 15
Below is a relaxed GaSbAs crystal, with properties calculated at the PBE level.

Cell: 8.5652 7.6439 4.9796 Å, 90.00 90.00 90.00°
Fractional positions:
Ga1 0.0000 0.2500 0.6119
Ga2 0.0000 0.7500 0.8881
Ga3 0.5000 0.2500 0.3881
Ga4 0.5000 0.7500 0.1119
Sb1 0.2500 0.2276 0.0000
Sb2 0.2500 0.7724 0.5000
Sb3 0.7500 0.2724 0.0000
Sb4 0.7500 0.7276 0.5000
As1 0.0572 0.0000 0.2500
As2 0.4428 0.0000 0.7500
As3 0.9428 0.5000 0.2500
As4 0.5572 0.5000 0.7500

Summary:
**Space group**: I2_12_12_1
**VASP energy**: -3.93 eV/atom
**ΔE to the lowest computed polymorph**: 62 meV per atom

# 16
Below is a relaxed GaSbAs2 crystal, with properties calculated at the PBE level.

Cell: 6.3754 6.3754 7.2490 Å, 63.91 63.91 90.00°
Fractional positions:
Sb1 0.0000 0.0000 0.0000
Sb2 0.7500 0.2500 0.5000
As1 0.5820 0.1250 0.2500
As2 0.1680 0.6250 0.2500
As3 0.3750 0.4180 0.7500
As4 0.8750 0.8320 0.7500
Ga1 0.5000 0.5000 0.0000
Ga2 0.2500 0.7500 0.5000

Summary:
**Space group**: I-42d
**VASP energy**: -4.03 eV/atom
**ΔE to the lowest computed polymorph**: 0 meV per atom

# 17
Below is a relaxed Ga2SbAs2 crystal, with properties calculated at the PBE level.

Cell: 3.7849 3.7849 8.2191 Å, 76.69 76.69 90.00°
Fractional positions:
Sb1 0.0000 0.0000 0.0000
As1 0.7500 0.2500 0.5000
As2 0.2500 0.7500 0.5000
Ga1 0.3979 0.3979 0.2042
Ga2 0.6021 0.6021 0.7958

Summary:
**Space group**: I4/mmm
**VASP energy**: -3.74 eV/atom
**ΔE to the lowest computed polymorph**: 36 meV per atom

# 18
Below is a relaxed Ga3SbAs crystal, with properties calculated at the PBE level.

Cell: 4.9985 4.9985 4.9985 Å, 90.00 90.00 90.00°
Fractional positions:
Sb1 0.5000 0.5000 0.5000
As1 0.0000 0.0000 0.0000
Ga1 0.0000 0.5000 0.0000
Ga2 0.0000 0.0000 0.5000
Ga3 0.5000 0.0000 0.0000

Summary:
**Space group**: Pm-3m
**VASP energy**: -3.30 eV/atom
**ΔE to the lowest computed polymorph**: 0 meV per atom

# 19
Below is a relaxed GaSbAs crystal, with properties calculated at the PBE level.

Cell: 4.1954 6.1254 6.9299 Å, 77.81 89.95 70.51°
Fractional positions:
Ga1 0.2649 0.3938 0.6931
Ga2 0.7146 0.3692 0.1826
Sb1 0.1388 0.9807 0.8129
Sb2 0.2428 0.9516 0.2298
As1 0.1533 0.5263 0.3247
As2 0.6577 0.5681 0.8225

Summary:
**Space group**: P1
**VASP energy**: -3.98 eV/atom
**ΔE to the lowest computed polymorph**: 14 meV per atom

# 20
Below is a relaxed GaSbAs crystal, with properties calculated at the PBE level.

Cell: 3.9525 3.9525 5.0897 Å, 90.00 90.00 120.00°
Fractional positions:
Ga1 0.0000 0.0000 0.5474
Sb1 0.6667 0.3333 0.1841
As1 0.3333 0.6667 0.8287

Summary:
**Space group**: P3m1
**VASP energy**: -3.90 eV/atom
**ΔE to the lowest computed polymorph**: 94 meV per atom

# 21
Below is a relaxed GaSbAs2 crystal, with properties calculated at the PBE level.

Cell: 3.4392 3.4392 9.3778 Å, 79.43 79.43 60.00°
Fractional positions:
Sb1 0.0000 0.0000 0.0000
As1 0.1053 0.1053 0.6841
As2 0.8947 0.8947 0.3159
Ga1 0.5000 0.5000 0.5000

Summary:
**Space group**: R-3m
**VASP energy**: -3.89 eV/atom
**ΔE to the lowest computed polymorph**: 141 meV per atom

# 22
Below is a relaxed GaSbAs3 crystal, with properties calculated at the PBE level.

Cell: 4.9200 4.9200 4.9200 Å, 90.00 90.00 90.00°
Fractional positions:
Sb1 0.5000 0.5000 0.5000
As1 0.0000 0.5000 0.0000
As2 0.0000 0.0000 0.5000
As3 0.5000 0.0000 0.0000
Ga1 0.0000 0.0000 0.0000

Summary:
**Space group**: Pm-3m
**VASP energy**: -3.60 eV/atom
**ΔE to the lowest computed polymorph**: 0 meV per atom

# 23
Below is a relaxed GaSbAs crystal, with properties calculated at the PBE level.

Cell: 4.4422 13.9902 5.9898 Å, 90.00 111.15 90.00°
Fractional positions:
Ga1 0.5908 0.1773 0.2536
Ga2 0.5908 0.8227 0.2536
Ga3 0.5908 0.6773 0.7536
Ga4 0.5908 0.3227 0.7536
Sb1 0.9561 0.1031 0.0183
Sb2 0.9561 0.8969 0.0183
Sb3 0.9561 0.6031 0.5183
Sb4 0.9561 0.3969 0.5183
As1 0.4669 0.3489 0.1229
As2 0.4669 0.6511 0.1229
As3 0.4669 0.8489 0.6229
As4 0.4669 0.1511 0.6229

Summary:
**Space group**: Cm
**VASP energy**: -3.93 eV/atom
**ΔE to the lowest computed polymorph**: 61 meV per atom

# 24
Below is a relaxed GaSb3As crystal, with properties calculated at the PBE level.

Cell: 5.4233 5.4233 5.4233 Å, 90.00 90.00 90.00°
Fractional positions:
Sb1 0.0000 0.5000 0.0000
Sb2 0.0000 0.0000 0.5000
Sb3 0.5000 0.0000 0.0000
As1 0.0000 0.0000 0.0000
Ga1 0.5000 0.5000 0.5000

Summary:
**Space group**: Pm-3m
**VASP energy**: -3.38 eV/atom
**ΔE to the lowest computed polymorph**: 0 meV per atom

In order of appearance, formation energy without anion corrections = -0.33; -0.35; -1.56; -0.54; 0.66; 0.00; 0.86; -0.06; 0.02; -0.02; -0.03; 0.10; 0.12; 0.26; 0.00; 0.08; 0.16; 0.27; -0.04; 0.04; 0.23; 0.62; 0.00; 0.63 eV/atom.